Ho4GaHg2 | GGA-PBE | optimized geometry

The structure in CIF format:
```
data_Ho4GaHg2
_chemical_formula_sum 'Ho12 Ga3 Hg6'
_space_group_name_H-M_alt 'R -3 m'
_space_group_IT_number 166
_space_group_name_Hall '-R 3 2"'
_cell_length_a 5.1181
_cell_length_b 5.1181
_cell_length_c 25.1014
_cell_angle_alpha 90.00
_cell_angle_beta 90.00
_cell_angle_gamma 120.00
loop_
_atom_site_label
_atom_site_type_symbol
_atom_site_fract_x
_atom_site_fract_y
_atom_site_fract_z
Ho1 Ho 0.0000 0.0000 0.1241
Ho2 Ho 0.0000 0.0000 0.3752
Ga1 Ga 0.0000 0.0000 0.5000
Hg1 Hg 0.0000 0.0000 0.2517
```

Values from the calculation:
The calculation puts the energy at -72.78 eV per cell. The total magnetization is 0.01 μB per cell. The density of states at the Fermi level is 1.218 states/eV per atom. The formation enthalpy at 0 K is -0.331 eV/atom. The value obtained for the density is 9.9 g cm⁻³.